# 1
KAg2Cl | Alexandria via LeMat-Bulk | GGA-PBEsol | optimized geometry; total DFT energy (no corrections) = -2.51 eV/atom; density of states at the Fermi level = 0.411 states/eV/atom; uncorrected formation energy = -0.068 eV/atom; energy relative to the lowest polymorph listed for this composition = 310 meV per atom
1.0
2.741 -6.079 0.000
2.741 6.079 0.000
0.000 0.000 2.936
K Ag Cl
1 2 1
Direct
0.000 0.000 0.000
0.000 0.500 0.500
0.500 0.000 0.500
0.500 0.500 0.000

***

# 2
KAgCl | Alexandria via LeMat-Bulk | GGA-PBEsol | optimized geometry; total DFT energy (no corrections) = -2.39 eV/atom; density of states at the Fermi level = 0.841 states/eV/atom; uncorrected formation energy = -0.239 eV/atom
1.0
0.000 3.608 3.608
3.608 0.000 3.608
3.608 3.608 0.000
K Ag Cl
1 1 1
Direct
0.000 0.000 0.000
0.750 0.750 0.750
0.250 0.250 0.250

***

# 3
KAg3Cl | Alexandria via LeMat-Bulk | GGA-PBEsol | optimized geometry; total DFT energy (no corrections) = -2.12 eV/atom; density of states at the Fermi level = 0.822 states/eV/atom; uncorrected formation energy = 0.493 eV/atom
1.0
5.156 0.000 0.000
0.000 5.156 0.000
0.000 0.000 5.156
K Ag Cl
1 3 1
Direct
0.000 0.000 0.000
0.000 0.500 0.500
0.500 0.000 0.500
0.500 0.500 0.000
0.500 0.500 0.500

***

# 4
KAg2Cl | Alexandria via LeMat-Bulk | GGA-PBEsol | optimized geometry; total DFT energy (no corrections) = -2.82 eV/atom; density of states at the Fermi level = 0.147 states/eV/atom; uncorrected formation energy = -0.379 eV/atom; energy relative to the lowest polymorph listed for this composition = 0 meV per atom
1.0
3.696 0.000 0.000
0.000 4.237 0.000
0.000 0.000 6.246
K Ag Cl
1 2 1
Direct
0.000 0.000 0.000
0.000 0.500 0.500
0.500 0.000 0.500
0.500 0.500 0.000

***

# 5
K2LuAgCl6 | Alexandria via LeMat-Bulk | GGA-PBEsol | optimized geometry; total DFT energy (no corrections) = -4.01 eV/atom; density of states at the Fermi level = 0.000 states/eV/atom; uncorrected formation energy = -1.763 eV/atom
1.0
0.000 5.174 5.174
5.174 0.000 5.174
5.174 5.174 0.000
K Lu Ag Cl
2 1 1 6
Direct
0.250 0.250 0.250
0.750 0.750 0.750
0.000 0.000 0.000
0.500 0.500 0.500
0.245 0.245 0.755
0.245 0.755 0.245
0.245 0.755 0.755
0.755 0.245 0.245
0.755 0.245 0.755
0.755 0.755 0.245

***

# 6
K2NdAgCl6 | Alexandria via LeMat-Bulk | GGA-PBEsol | optimized geometry; total DFT energy (no corrections) = -4.00 eV/atom; density of states at the Fermi level = 0.000 states/eV/atom; uncorrected formation energy = -1.716 eV/atom
1.0
0.000 5.324 5.324
5.324 0.000 5.324
5.324 5.324 0.000
K Nd Ag Cl
2 1 1 6
Direct
0.250 0.250 0.250
0.750 0.750 0.750
0.000 0.000 0.000
0.500 0.500 0.500
0.252 0.252 0.748
0.252 0.748 0.252
0.252 0.748 0.748
0.748 0.252 0.252
0.748 0.252 0.748
0.748 0.748 0.252

***

# 7
K2TbAgCl6 | Alexandria via LeMat-Bulk | GGA-PBEsol | optimized geometry; total DFT energy (no corrections) = -4.01 eV/atom; density of states at the Fermi level = 0.000 states/eV/atom; uncorrected formation energy = -1.750 eV/atom
1.0
0.000 5.241 5.241
5.241 0.000 5.241
5.241 5.241 0.000
K Tb Ag Cl
2 1 1 6
Direct
0.250 0.250 0.250
0.750 0.750 0.750
0.000 0.000 0.000
0.500 0.500 0.500
0.248 0.248 0.752
0.248 0.752 0.248
0.248 0.752 0.752
0.752 0.248 0.248
0.752 0.248 0.752
0.752 0.752 0.248

***

# 8
K2TlAgCl6 | Alexandria via LeMat-Bulk | GGA-PBEsol | optimized geometry; total DFT energy (no corrections) = -3.16 eV/atom; density of states at the Fermi level = 0.179 states/eV/atom; uncorrected formation energy = -1.139 eV/atom
1.0
0.000 5.177 5.177
5.177 0.000 5.177
5.177 5.177 0.000
K Tl Ag Cl
2 1 1 6
Direct
0.250 0.250 0.250
0.750 0.750 0.750
0.000 0.000 0.000
0.500 0.500 0.500
0.252 0.252 0.748
0.252 0.748 0.252
0.252 0.748 0.748
0.748 0.252 0.252
0.748 0.252 0.748
0.748 0.748 0.252

***

# 9
K2YAgCl6 | Alexandria via LeMat-Bulk | GGA-PBEsol | optimized geometry; total DFT energy (no corrections) = -4.20 eV/atom; density of states at the Fermi level = 0.000 states/eV/atom; uncorrected formation energy = -1.758 eV/atom
1.0
0.000 5.228 5.228
5.228 0.000 5.228
5.228 5.228 0.000
K Y Ag Cl
2 1 1 6
Direct
0.250 0.250 0.250
0.750 0.750 0.750
0.000 0.000 0.000
0.500 0.500 0.500
0.248 0.248 0.752
0.248 0.752 0.248
0.248 0.752 0.752
0.752 0.248 0.248
0.752 0.248 0.752
0.752 0.752 0.248

***

# 10
La2AgCl | Alexandria via LeMat-Bulk | GGA-PBEsol | optimized geometry; total DFT energy (no corrections) = -4.76 eV/atom; density of states at the Fermi level = 0.965 states/eV/atom; uncorrected formation energy = -0.757 eV/atom; energy relative to the lowest polymorph listed for this composition = 131 meV per atom
1.0
5.441 0.000 0.000
0.000 5.441 0.000
0.000 0.000 3.333
La Ag Cl
2 1 1
Direct
0.000 0.500 0.000
0.500 0.000 0.000
0.000 0.000 0.500
0.500 0.500 0.500

***

# 11
La2AgCl | Alexandria via LeMat-Bulk | GGA-PBEsol | optimized geometry; total DFT energy (no corrections) = -4.71 eV/atom; density of states at the Fermi level = 1.110 states/eV/atom; uncorrected formation energy = -0.702 eV/atom; energy relative to the lowest polymorph listed for this composition = 186 meV per atom
1.0
-2.380 2.884 3.715
2.380 -2.884 3.715
2.380 2.884 -3.715
La Ag Cl
2 1 1
Direct
0.239 0.239 0.000
0.761 0.761 0.000
0.500 0.000 0.500
0.000 0.500 0.500

***

# 12
La2AgCl | Alexandria via LeMat-Bulk | GGA-PBEsol | optimized geometry; total DFT energy (no corrections) = -4.89 eV/atom; density of states at the Fermi level = 0.549 states/eV/atom; uncorrected formation energy = -0.888 eV/atom; energy relative to the lowest polymorph listed for this composition = 0 meV per atom
1.0
4.201 0.000 0.000
0.000 4.201 0.000
0.000 0.000 6.165
La Ag Cl
2 1 1
Direct
0.000 0.000 0.000
0.500 0.500 0.500
0.000 0.000 0.500
0.500 0.500 0.000

***

# 13
La2AgCl | Alexandria via LeMat-Bulk | GGA-PBEsol | optimized geometry; total DFT energy (no corrections) = -4.88 eV/atom; density of states at the Fermi level = 0.669 states/eV/atom; uncorrected formation energy = -0.874 eV/atom; energy relative to the lowest polymorph listed for this composition = 14 meV per atom
1.0
3.777 -2.183 0.000
3.777 2.183 0.000
-2.523 0.000 6.569
La Ag Cl
2 1 1
Direct
0.243 0.243 0.230
0.757 0.757 0.770
0.000 0.000 0.500
0.500 0.500 0.000

***

# 14
LaAgCl3 | Alexandria via LeMat-Bulk | GGA-PBEsol | optimized geometry; total DFT energy (no corrections) = -4.19 eV/atom; density of states at the Fermi level = 0.435 states/eV/atom; uncorrected formation energy = -1.254 eV/atom
1.0
5.496 0.000 0.000
0.000 5.496 0.000
0.000 0.000 5.496
La Ag Cl
1 1 3
Direct
0.000 0.000 0.000
0.500 0.500 0.500
0.000 0.000 0.500
0.000 0.500 0.000
0.500 0.000 0.000